1.
## LaSiSe2 (GGA-PBE)

Data for crystalline LaSiSe2 at its relaxed geometry.

Unit cell a=5.1087 b=5.1087 c=5.1087 alpha=60.00 beta=60.00 gamma=60.00
Fractional positions:
La  0.0000  0.0000  0.0000
Si  0.2500  0.2500  0.2500
Se  0.5000  0.5000  0.5000
Se  0.7500  0.7500  0.7500

The calculation puts the formation energy from raw total energies at -0.32 eV/atom. The value obtained for the volume is 23.57 A^3/atom.

2.
## LaSi3Se (GGA-PBE)

Data for crystalline LaSi3Se at its relaxed geometry.

Unit cell a=4.9255 b=4.9255 c=4.9255 alpha=90.00 beta=90.00 gamma=90.00
Fractional positions:
La  0.0000  0.0000  0.0000
Si  0.0000  0.5000  0.5000
Si  0.5000  0.0000  0.5000
Si  0.5000  0.5000  0.0000
Se  0.5000  0.5000  0.5000

As for the offset from the most stable computed form: 0.0000 eV per atom. The calculation puts the formation energy from raw total energies at 0.38 eV/atom. The value obtained for the volume is 23.90 A^3/atom.

> The lowest formation energy from raw total energies belongs to which entry?

LaSiSe2

Repeat the first record exactly.
## LaSiSe2 (GGA-PBE)

Data for crystalline LaSiSe2 at its relaxed geometry.

Unit cell a=5.1087 b=5.1087 c=5.1087 alpha=60.00 beta=60.00 gamma=60.00
Fractional positions:
La  0.0000  0.0000  0.0000
Si  0.2500  0.2500  0.2500
Se  0.5000  0.5000  0.5000
Se  0.7500  0.7500  0.7500

The calculation puts the formation energy from raw total energies at -0.32 eV/atom. The value obtained for the volume is 23.57 A^3/atom.